1.
! HfZrAl2 PBE optimized geometry; values from VASP
! DFT formation energy in eV/atom: -0.403
! Excess energy over the best structure of this formula in the dataset in eV/atom: 0.037
! Crystal system: tetragonal
! M_tot in μB per formula unit: 0.00
! D(E_F) in states/eV/atom: 0.730
! E_tot in eV per atom: -6.90
&SYSTEM
  ibrav = 0, nat = 4, ntyp = 3
/
ATOMIC_SPECIES
Al 26.98 Al.upf
Zr 91.22 Zr.upf
Hf 178.49 Hf.upf
CELL_PARAMETERS angstrom
4.1680 0.0000 0.0000
0.0000 4.2777 0.0000
0.0000 0.0000 4.2777
ATOMIC_POSITIONS crystal
Al 0.0000 0.0000 0.5000
Al 0.0000 0.5000 0.0000
Zr 0.5000 0.5000 0.5000
Hf 0.5000 0.0000 0.0000

2.
! Hf4ZrAl2 PBE optimized geometry; values from VASP
! DFT formation energy in eV/atom: 0.153
! Excess energy over the best structure of this formula in the dataset in eV/atom: 0.243
! Crystal system: tetragonal
! M_tot in μB per formula unit: 0.00
! D(E_F) in states/eV/atom: 0.765
! E_tot in eV per atom: -7.83
&SYSTEM
  ibrav = 0, nat = 7, ntyp = 3
/
ATOMIC_SPECIES
Al 26.98 Al.upf
Hf 178.49 Hf.upf
Zr 91.22 Zr.upf
CELL_PARAMETERS angstrom
2.9668 0.0000 0.0000
0.0000 7.0996 0.0000
0.0000 0.0000 7.0996
ATOMIC_POSITIONS crystal
Al 0.5000 0.5000 0.0000
Al 0.5000 0.0000 0.5000
Hf 0.0000 0.7096 0.7096
Hf 0.0000 0.2904 0.2904
Hf 0.0000 0.7096 0.2904
Hf 0.0000 0.2904 0.7096
Zr 0.0000 0.0000 0.0000

3.
! Hf5ZrAl3 PBE optimized geometry; values from VASP
! DFT formation energy in eV/atom: 0.333
! Excess energy over the best structure of this formula in the dataset in eV/atom: 0.620
! Crystal system: monoclinic
! M_tot in μB per formula unit: 0.40
! D(E_F) in states/eV/atom: 1.091
! E_tot in eV per atom: -7.39
&SYSTEM
  ibrav = 0, nat = 18, ntyp = 3
/
ATOMIC_SPECIES
Hf 178.49 Hf.upf
Al 26.98 Al.upf
Zr 91.22 Zr.upf
CELL_PARAMETERS angstrom
-6.6504 0.8669 0.1285
-2.5125 -3.8816 -4.8597
-2.4179 -7.9316 5.5449
ATOMIC_POSITIONS crystal
Hf 0.6838 0.3162 0.0000
Hf 0.4328 0.4328 0.6548
Hf 0.3162 0.6838 0.0000
Hf 0.0399 0.6877 0.7763
Hf 0.2721 0.2721 0.9488
Hf 0.6877 0.0399 0.7763
Hf 0.3123 0.9601 0.2237
Hf 0.9601 0.3123 0.2237
Hf 0.5672 0.5672 0.3452
Hf 0.7279 0.7279 0.0512
Al 0.2688 0.2688 0.4574
Al 0.0000 0.0000 0.5000
Al 0.3668 0.3668 0.2089
Al 0.0000 0.0000 0.0000
Al 0.7312 0.7312 0.5426
Al 0.6332 0.6332 0.7911
Zr 0.8659 0.8659 0.2724
Zr 0.1341 0.1341 0.7276